The following is a DFT calculation (GGA-PBE) of an optimized crystal structure of Ce3CoAu2.

Lattice parameters (Å, degrees): 7.2830 7.2830 6.9423 103.44 103.44 50.78
Fractional positions:
Ce  0.1465  0.8535  0.7500
Ce  0.2398  0.4671  0.3895
Ce  0.4671  0.2398  0.8895
Ce  0.5329  0.7602  0.1105
Ce  0.7602  0.5329  0.6105
Ce  0.8535  0.1465  0.2500
Co  0.3564  0.6436  0.2500
Co  0.6436  0.3564  0.7500
Au  0.0427  0.2810  0.0114
Au  0.2810  0.0427  0.5114
Au  0.7190  0.9573  0.4886
Au  0.9573  0.7190  0.9886

Computed properties:
The value obtained for the volume is 276 Å³ per cell. The final energy is -5.71 eV/atom. As for the space group: C2/c, No. 15. The calculation puts the formation energy at -463.7 meV per atom.


The following is a DFT calculation (GGA-PBE) of an optimized crystal structure of Ce4CoAu2.

Lattice parameters (Å, degrees): 8.5520 8.5520 8.5520 146.72 146.72 47.78
Fractional positions:
Ce  0.0000  0.5000  0.5000
Ce  0.1839  0.1839  0.0000
Ce  0.5000  0.0000  0.5000
Ce  0.8161  0.8161  0.0000
Co  0.0000  0.0000  0.0000
Au  0.3687  0.3687  0.0000
Au  0.6313  0.6313  0.0000

Computed properties:
The value obtained for the volume is 188 Å³ per cell. The final energy is -5.66 eV/atom. The offset from the most stable computed form comes out at 0 meV per atom. As for the space group: I4/mmm, No. 139. The calculation puts the formation energy at -319.3 meV per atom.


The following is a DFT calculation (GGA-PBE) of an optimized crystal structure of Ce7Co2Au2.

Lattice parameters (Å, degrees): 6.7183 6.7183 6.5849 90.00 90.00 111.58
Fractional positions:
Ce  0.0000  0.0000  0.0000
Ce  0.0000  0.5000  0.2718
Ce  0.0000  0.5000  0.7282
Ce  0.5000  0.0000  0.2718
Ce  0.5000  0.0000  0.7282
Ce  0.5000  0.5000  0.2119
Ce  0.5000  0.5000  0.7881
Co  0.2738  0.7262  0.0000
Co  0.7262  0.2738  0.0000
Au  0.1821  0.1821  0.5000
Au  0.8179  0.8179  0.5000

Computed properties:
The value obtained for the volume is 276 Å³ per cell. The final energy is -5.86 eV/atom. The offset from the most stable computed form comes out at 76 meV per atom. As for the space group: Cmmm, No. 65. The calculation puts the formation energy at -193.9 meV per atom.


The following is a DFT calculation (GGA-PBE) of an optimized crystal structure of Ce5Co2Au2.

Lattice parameters (Å, degrees): 9.9051 9.9051 9.9051 60.88 133.21 143.33
Fractional positions:
Ce  0.2066  0.0260  0.2326
Ce  0.2066  0.4740  0.6806
Ce  0.3523  0.3975  0.4548
Ce  0.6799  0.1146  0.2306
Ce  0.6799  0.9492  0.0653
Ce  0.7934  0.5260  0.3194
Ce  0.7934  0.9740  0.7674
Ce  0.8840  0.4492  0.7694
Ce  0.8840  0.6146  0.9347
Ce  0.9427  0.8975  0.5452
Co  0.2152  0.5189  0.1963
Co  0.3226  0.0189  0.8037
Co  0.6834  0.1834  0.5000
Co  0.6834  0.6834  0.0000
Au  0.2848  0.4191  0.0647
Au  0.2848  0.7201  0.3657
Au  0.3544  0.2201  0.9353
Au  0.3544  0.9191  0.6343

Computed properties:
The value obtained for the volume is 419 Å³ per cell. The final energy is -5.86 eV/atom. The offset from the most stable computed form comes out at 88 meV per atom. As for the space group: Ima2, No. 46. The calculation puts the formation energy at -253.9 meV per atom.


Question: Look up the final energy of the third one.
Answer: -5.86 eV/atom